(1)
Density functional theory data (PBE) for crystalline AlFe2ReRu at its relaxed geometry.

```
AlFe2ReRu
1.0
4.3822 0.0000 0.0000
0.0000 4.3822 0.0000
0.0000 0.0000 4.6833
Al Fe Re Ru
1 2 1 1
direct
0.0000 0.0000 0.0000 Al
0.0000 0.5000 0.5000 Fe
0.5000 0.0000 0.5000 Fe
0.0000 0.0000 0.5000 Re
0.5000 0.5000 0.0000 Ru
```

Properties
- Electronic total energy: -34.89 eV per cell
- Crystal system: tetragonal
- Size of the total moment: 0.907 μB per atom
- Formation enthalpy at 0 K: 1.50 eV/atom

(2)
Density functional theory data (PBE) for crystalline TbNd2ErBi4 at its relaxed geometry.

```
TbNd2ErBi4
1.0
7.8582 0.0000 0.0000
0.0000 4.5452 0.0000
-2.6256 0.0000 7.4166
Tb Nd Er Bi
1 2 1 4
direct
0.0000 0.0000 0.0000 Tb
0.5000 0.0000 0.5000 Nd
0.5000 0.5000 0.0000 Nd
0.0000 0.5000 0.5000 Er
0.2402 0.0000 0.7453 Bi
0.2412 0.5000 0.2486 Bi
0.7588 0.5000 0.7514 Bi
0.7598 0.0000 0.2547 Bi
```

Properties
- Electronic total energy: -41.41 eV per cell
- Crystal system: monoclinic
- Size of the total moment: 0.000 μB per atom
- Formation enthalpy at 0 K: -0.89 eV/atom